*a*
The following is a PBE calculation of SnHgCl4 after structural relaxation, from Alexandria.

Computed properties:
Calculated volume   31.887 Å³ per atom
M_tot   0.00 μB/atom
Space-group type   Cm (8)

Cell lengths 6.8766, 6.8766, 7.2189 Å; angles 101.81, 101.81, 35.02 degrees
Closest atoms and distances in Å follow each position.
Positions (direct):
1 Sn 0.0000 0.0000 0.0000  6 Cl 2.87-2.90
2 Hg 0.5009 0.5009 0.5012  6 Cl 2.72-2.76
3 Cl 0.1132 0.1132 0.3918  2 Hg 2.75, 1 Sn 2.90
4 Cl 0.3841 0.3841 0.1406  1 Hg 2.72, 2 Sn 2.88
5 Cl 0.6173 0.6173 0.8625  1 Hg 2.72, 2 Sn 2.88
6 Cl 0.8883 0.8883 0.6125  2 Hg 2.76, 1 Sn 2.87

---

*b*
The following is a PBE calculation of SnHgCl4 after structural relaxation, from Alexandria.

Computed properties:
Calculated volume   33.017 Å³ per atom
M_tot   0.00 μB/atom
Space-group type   C2/c (15)

Cell lengths 9.4328, 9.4328, 6.9989 Å; angles 111.55, 111.55, 116.82 degrees
Closest atoms and distances in Å follow each position.
Positions (direct):
1 Sn 0.0687 0.9313 0.7500  4 Cl 2.62-2.85
2 Sn 0.9313 0.0687 0.2500  4 Cl 2.62-2.85
3 Hg 0.3136 0.6864 0.2500  2 Cl 2.34
4 Hg 0.6864 0.3136 0.7500  2 Cl 2.34
5 Cl 0.0950 0.4915 0.3049  1 Hg 2.34
6 Cl 0.1729 0.2599 0.8035  2 Sn 2.62-2.85
7 Cl 0.2599 0.1729 0.3035  2 Sn 2.62-2.85
8 Cl 0.4915 0.0950 0.8049  1 Hg 2.34
9 Cl 0.5085 0.9050 0.1951  1 Hg 2.34
10 Cl 0.7401 0.8271 0.6965  2 Sn 2.62-2.85
11 Cl 0.8271 0.7401 0.1965  2 Sn 2.62-2.85
12 Cl 0.9050 0.5085 0.6951  1 Hg 2.34

---

If we sort the structures by their calculated energies, the order from most to least stable is *b*, *a*.

---

*a*
The following is a PBE calculation of Sn2HgCl after structural relaxation, from Alexandria.

Computed properties:
Calculated volume   25.080 Å³ per atom
M_tot   0.00 μB/atom
Space-group type   Fm-3m (225)

Cell lengths 5.2155, 5.2155, 5.2155 Å; angles 60.00, 60.00, 60.00 degrees
Closest atoms and distances in Å follow each position.
Positions (direct):
1 Sn 0.2500 0.2500 0.2500  4 Hg 3.19, 4 Cl 3.19
2 Sn 0.7500 0.7500 0.7500  4 Cl 3.19, 4 Hg 3.19
3 Hg 0.0000 0.0000 0.0000  8 Sn 3.19
4 Cl 0.5000 0.5000 0.5000  8 Sn 3.19

---

*b*
The following is a PBE calculation of Sn2HgCl after structural relaxation, from Alexandria.

Computed properties:
Calculated volume   36.468 Å³ per atom
M_tot   0.00 μB/atom
Space-group type   R-3m (166)

Cell lengths 8.2111, 8.2111, 8.2111 Å; angles 32.97, 32.97, 32.97 degrees
Closest atoms and distances in Å follow each position.
Positions (direct):
1 Sn 0.1146 0.1146 0.1146  1 Cl 2.67, 3 Hg 2.95
2 Sn 0.8854 0.8854 0.8854  1 Cl 2.67, 3 Hg 2.95
3 Hg 0.5000 0.5000 0.5000  6 Sn 2.95
4 Cl 0.0000 0.0000 0.0000  2 Sn 2.67

---

*c*
The following is a PBE calculation of Sn2HgCl after structural relaxation, from Alexandria.

Computed properties:
Calculated volume   28.382 Å³ per atom
M_tot   0.00 μB/atom
Space-group type   I-42d (122)

Cell lengths 11.2636, 11.2636, 11.2636 Å; angles 156.50, 156.50, 33.48 degrees
Closest atoms and distances in Å follow each position.
Positions (direct):
1 Sn 0.1102 0.6250 0.9852  2 Cl 3.12, 4 Sn 3.15-3.34, 2 Hg 3.17
2 Sn 0.3750 0.3602 0.4852  2 Cl 3.12, 4 Sn 3.15-3.34, 2 Hg 3.17
3 Sn 0.6398 0.1250 0.0148  2 Cl 3.12, 4 Sn 3.15-3.34, 2 Hg 3.17
4 Sn 0.8750 0.8898 0.5148  2 Cl 3.12, 4 Sn 3.15-3.34, 2 Hg 3.17
5 Hg 0.2500 0.7500 0.5000  4 Sn 3.17, 4 Cl 3.24
6 Hg 0.5000 0.5000 0.0000  4 Sn 3.17, 4 Cl 3.24
7 Cl 0.0000 0.0000 0.0000  4 Sn 3.12, 4 Hg 3.24
8 Cl 0.7500 0.2500 0.5000  4 Sn 3.12, 4 Hg 3.24

---

If we sort the structures by their calculated energies, the order from most to least stable is *b*, *c*, *a*.